1.
{
  "formula": "HfBe4Rh",
  "functional": "PBE",
  "state": "relaxed",
  "formation_energy_mev_per_atom": -440.2,
  "dos_at_fermi_per_ev_cell": 2.31,
  "sg": "No. 216",
  "total_energy_ev_per_cell": -34.851,
  "total_magnetization_mub_per_cell": 0.0,
  "cell": [[0.0000, 3.2052, 3.2052], [3.2052, 0.0000, 3.2052], [3.2052, 3.2052, 0.0000]],
  "species": ["Hf", "Be", "Be", "Be", "Be", "Rh"],
  "fractional_positions": [[0.0000, 0.0000, 0.0000], [0.1252, 0.6249, 0.6249], [0.6249, 0.1252, 0.6249], [0.6249, 0.6249, 0.1252], [0.6249, 0.6249, 0.6249], [0.2500, 0.2500, 0.2500]]
}

2.
{
  "formula": "Y3Mg3Al2",
  "functional": "PBE",
  "state": "relaxed",
  "formation_energy_mev_per_atom": -179.2,
  "dos_at_fermi_per_ev_cell": 13.49,
  "sg": "No. 63",
  "total_energy_ev_per_cell": -66.189,
  "total_magnetization_mub_per_cell": 0.0,
  "cell": [[2.3402, -5.5421, 0.0000], [2.3402, 5.5421, 0.0000], [0.0000, 0.0000, 15.6681]],
  "species": ["Y", "Y", "Y", "Y", "Y", "Y", "Mg", "Mg", "Mg", "Mg", "Mg", "Mg", "Al", "Al", "Al", "Al"],
  "fractional_positions": [[0.0842, 0.9158, 0.6077], [0.0842, 0.9158, 0.8923], [0.3469, 0.6531, 0.7500], [0.6531, 0.3469, 0.2500], [0.9158, 0.0842, 0.1077], [0.9158, 0.0842, 0.3923], [0.3632, 0.6368, 0.2500], [0.3740, 0.6260, 0.5369], [0.3740, 0.6260, 0.9631], [0.6260, 0.3740, 0.0369], [0.6260, 0.3740, 0.4631], [0.6368, 0.3632, 0.7500], [0.2077, 0.7923, 0.1103], [0.2077, 0.7923, 0.3897], [0.7923, 0.2077, 0.6103], [0.7923, 0.2077, 0.8897]]
}

3.
{
  "formula": "Al2V4W",
  "functional": "PBE",
  "state": "relaxed",
  "formation_energy_mev_per_atom": 484.4,
  "dos_at_fermi_per_ev_cell": 14.13,
  "sg": "No. 65",
  "total_energy_ev_per_cell": -107.044,
  "total_magnetization_mub_per_cell": 0.0,
  "cell": [[2.7981, 0.0000, 0.0000], [0.0000, 17.2872, 0.0000], [0.0000, 0.0000, 4.5076]],
  "species": ["Al", "Al", "Al", "Al", "V", "V", "V", "V", "V", "V", "V", "V", "W", "W"],
  "fractional_positions": [[0.0000, 0.0748, 0.0000], [0.0000, 0.9252, 0.0000], [0.5000, 0.4252, 0.0000], [0.5000, 0.5748, 0.0000], [0.0000, 0.1741, 0.5000], [0.0000, 0.3013, 0.0000], [0.0000, 0.6987, 0.0000], [0.0000, 0.8259, 0.5000], [0.5000, 0.1987, 0.0000], [0.5000, 0.3259, 0.5000], [0.5000, 0.6741, 0.5000], [0.5000, 0.8013, 0.0000], [0.0000, 0.0000, 0.5000], [0.5000, 0.5000, 0.5000]]
}

4.
{
  "formula": "Mg2In2Pt",
  "functional": "PBE",
  "state": "relaxed",
  "formation_energy_mev_per_atom": -141.5,
  "dos_at_fermi_per_ev_cell": 3.41,
  "sg": "No. 127",
  "total_energy_ev_per_cell": -30.829,
  "total_magnetization_mub_per_cell": 0.0,
  "cell": [[6.9129, 0.0000, 0.0000], [0.0000, 6.9129, 0.0000], [0.0000, 0.0000, 4.6160]],
  "species": ["Mg", "Mg", "Mg", "Mg", "In", "In", "In", "In", "Pt", "Pt"],
  "fractional_positions": [[0.1539, 0.3461, 0.0000], [0.3461, 0.8461, 0.0000], [0.6539, 0.1539, 0.0000], [0.8461, 0.6539, 0.0000], [0.1617, 0.6617, 0.5000], [0.3383, 0.1617, 0.5000], [0.6617, 0.8383, 0.5000], [0.8383, 0.3383, 0.5000], [0.0000, 0.0000, 0.0000], [0.5000, 0.5000, 0.0000]]
}

5.
{
  "formula": "MgBe2Zn2Au5",
  "functional": "PBE",
  "state": "relaxed",
  "formation_energy_mev_per_atom": -146.9,
  "dos_at_fermi_per_ev_cell": 3.48,
  "sg": "No. 127",
  "total_energy_ev_per_cell": -58.902,
  "total_magnetization_mub_per_cell": 0.0,
  "cell": [[9.5138, 0.0000, 0.0000], [0.0000, 9.5138, 0.0000], [0.0000, 0.0000, 3.5407]],
  "species": ["Mg", "Mg", "Be", "Be", "Be", "Be", "Zn", "Zn", "Zn", "Zn", "Au", "Au", "Au", "Au", "Au", "Au", "Au", "Au", "Au", "Au"],
  "fractional_positions": [[0.0000, 0.0000, 0.0000], [0.5000, 0.5000, 0.0000], [0.1251, 0.3749, 0.0000], [0.3749, 0.8749, 0.0000], [0.6251, 0.1251, 0.0000], [0.8749, 0.6251, 0.0000], [0.1686, 0.6686, 0.0000], [0.3314, 0.1686, 0.0000], [0.6686, 0.8314, 0.0000], [0.8314, 0.3314, 0.0000], [0.0000, 0.5000, 0.5000], [0.0946, 0.1977, 0.5000], [0.1977, 0.9054, 0.5000], [0.3023, 0.4054, 0.5000], [0.4054, 0.6977, 0.5000], [0.5000, 0.0000, 0.5000], [0.5946, 0.3023, 0.5000], [0.6977, 0.5946, 0.5000], [0.8023, 0.0946, 0.5000], [0.9054, 0.8023, 0.5000]]
}

6.
{
  "formula": "Sm4TePb2",
  "functional": "PBE",
  "state": "relaxed",
  "dos_at_fermi_per_ev_cell": 12.29,
  "sg": "No. 11",
  "total_energy_ev_per_cell": -67.105,
  "total_magnetization_mub_per_cell": 0.0,
  "cell": [[6.7475, 0.0000, 0.0000], [0.0000, 6.5702, 0.0000], [-2.8412, 0.0000, 10.0998]],
  "species": ["Sm", "Sm", "Sm", "Sm", "Sm", "Sm", "Sm", "Sm", "Te", "Te", "Pb", "Pb", "Pb", "Pb"],
  "fractional_positions": [[0.0226, 0.0029, 0.2700], [0.0226, 0.4971, 0.2700], [0.3850, 0.7500, 0.5506], [0.4659, 0.7500, 0.1503], [0.5341, 0.2500, 0.8497], [0.6150, 0.2500, 0.4494], [0.9774, 0.5029, 0.7300], [0.9774, 0.9971, 0.7300], [0.3981, 0.7500, 0.8434], [0.6019, 0.2500, 0.1566], [0.0841, 0.2500, 0.0069], [0.2100, 0.2500, 0.5489], [0.7900, 0.7500, 0.4511], [0.9159, 0.7500, 0.9931]]
}